Record 1
A relaxed structure of ScTiH, computed with PBE.

Lattice parameters (Å, degrees): 5.1321 6.5082 5.1334 90.00 90.00 90.00
Fractional coordinates of all 12 atoms:
Sc  0.0000  0.0000  0.0000
Sc  0.0000  0.5000  0.0000
Sc  0.5000  0.0000  0.5000
Sc  0.5000  0.5000  0.5000
Ti  0.0032  0.2500  0.4967
Ti  0.4968  0.7500  0.9967
Ti  0.5032  0.2500  0.0033
Ti  0.9968  0.7500  0.5033
H  0.1718  0.7500  0.1781
H  0.3282  0.2500  0.6781
H  0.6718  0.7500  0.3219
H  0.8282  0.2500  0.8219

Results
Relative energy among the computed polymorphs   0.18 eV/f.u.
Electronic total energy   -5.9839 eV per atom
Space-group type   Pnma (62)

---

Record 2
A relaxed structure of TmPaMn, computed with PBE.

Lattice parameters (Å, degrees): 6.0800 6.0800 6.0800 148.10 148.10 45.74
Fractional coordinates of all 3 atoms:
Tm  0.0000  0.0000  0.0000
Pa  0.2916  0.2916  0.0000
Mn  0.6854  0.6854  0.0000

Results
Relative energy among the computed polymorphs   0.25 eV/f.u.
Electronic total energy   -7.6671 eV per atom
Space-group type   I4mm (107)

---

Record 3
A relaxed structure of Tb3C2I2, computed with PBE.

Lattice parameters (Å, degrees): 3.6848 6.2938 8.1014 98.55 91.62 104.02
Fractional coordinates of all 7 atoms:
Tb  0.0000  0.0000  0.0000
Tb  0.2117  0.4518  0.8128
Tb  0.7883  0.5482  0.1872
C  0.3664  0.7258  0.0545
C  0.6336  0.2742  0.9455
I  0.1607  0.2345  0.3750
I  0.8393  0.7655  0.6250

Results
Electronic total energy   -5.5722 eV per atom
Space-group type   P-1 (2)

---

Record 4
A relaxed structure of LaMn2Co, computed with PBE.

Lattice parameters (Å, degrees): 5.7170 5.7170 5.7170 41.84 41.84 41.84
Fractional coordinates of all 4 atoms:
La  0.0000  0.0000  0.0000
Mn  0.1970  0.1970  0.1970
Mn  0.4944  0.4944  0.4944
Co  0.8084  0.8084  0.8084

Results
Electronic total energy   -7.4692 eV per atom
Space-group type   R3m (160)

---

Record 5
A relaxed structure of YMg2Hg, computed with PBE.

Lattice parameters (Å, degrees): 3.4398 5.0019 5.8323 90.00 99.18 90.00
Fractional coordinates of all 4 atoms:
Y  0.0000  0.0000  0.0000
Mg  0.3784  0.5000  0.7393
Mg  0.6216  0.5000  0.2607
Hg  0.5000  0.0000  0.5000

Results
Electronic total energy   -2.6761 eV per atom
Space-group type   P2/m (10)

---

Record 6
A relaxed structure of CeEr4, computed with PBE.

Lattice parameters (Å, degrees): 6.4386 6.4386 8.5762 105.63 105.63 64.74
Fractional coordinates of all 10 atoms:
Ce  0.1981  0.8019  0.0000
Ce  0.8019  0.1981  0.0000
Er  0.1468  0.6548  0.6028
Er  0.2013  0.2013  0.7821
Er  0.3102  0.3102  0.2204
Er  0.3452  0.8532  0.3972
Er  0.6548  0.1468  0.6028
Er  0.6898  0.6898  0.7796
Er  0.7987  0.7987  0.2179
Er  0.8532  0.3452  0.3972

Results
Relative energy among the computed polymorphs   0.00 eV/f.u.
Electronic total energy   -4.7766 eV per atom
Space-group type   C2/m (12)

---

Record 7
A relaxed structure of LaCd2Te2, computed with PBE.

Lattice parameters (Å, degrees): 8.3451 8.3451 4.3167 90.00 90.00 90.00
Fractional coordinates of all 10 atoms:
La  0.0000  0.0000  0.0000
La  0.5000  0.5000  0.0000
Cd  0.1535  0.3465  0.5000
Cd  0.3465  0.8465  0.5000
Cd  0.6535  0.1535  0.5000
Cd  0.8465  0.6535  0.5000
Te  0.1544  0.6544  0.0000
Te  0.3456  0.1544  0.0000
Te  0.6544  0.8456  0.0000
Te  0.8456  0.3456  0.0000

Results
Relative energy among the computed polymorphs   0.75 eV/f.u.
Electronic total energy   -3.1135 eV per atom
Space-group type   P4/mbm (127)

---

Record 8
A relaxed structure of Hg2SbSe, computed with PBE.

Lattice parameters (Å, degrees): 8.1937 8.1937 8.1937 28.15 28.15 28.15
Fractional coordinates of all 4 atoms:
Hg  0.0000  0.0000  0.0000
Hg  0.2508  0.2508  0.2508
Sb  0.7561  0.7561  0.7561
Se  0.4952  0.4952  0.4952

Results
Electronic total energy   -2.0391 eV per atom
Space-group type   R3m (160)